{"formula": "MnGeN2F", "functional": "PBE+U", "state": "relaxed", "relative_energy_ev_per_atom": 0.000, "magmom_total_mub_per_fu": 4.50, "e_tot_ha_per_atom": -0.223, "lattice": [[3.787, 0.000, 0.000], [0.000, 3.787, 0.000], [0.000, 0.000, 3.942]], "species": ["Mn", "Ge", "N", "N", "F"], "fractional_positions": [[0.000, 0.000, 0.000], [0.500, 0.500, 0.500], [0.000, 0.500, 0.500], [0.500, 0.000, 0.500], [0.500, 0.500, 0.000]]}